Entry 1:
Material: Cd6PbO8
Method: DFT, PBE-GGA
State: optimized geometry

Cell: 6.771 6.771 6.771 Å, 60.00 60.00 60.00°
Element x y z (fractional)
O1 0.231 0.769 0.769
O2 0.769 0.769 0.231
O3 0.750 0.750 0.750
O4 0.769 0.231 0.769
O5 0.231 0.769 0.231
O6 0.231 0.231 0.769
O7 0.250 0.250 0.250
O8 0.769 0.231 0.231
Cd1 0.500 0.000 0.500
Cd2 0.500 0.500 0.000
Cd3 0.500 0.000 0.000
Cd4 0.000 0.500 0.500
Cd5 0.000 0.000 0.500
Cd6 0.000 0.500 0.000
Pb1 0.000 0.000 0.000

E_form (uncorrected) = -0.99 eV per atom

***

Entry 2:
Material: HgMoOs3
Method: DFT, PBE-GGA
State: optimized geometry

Cell: 4.773 4.773 4.773 Å, 90.00 90.00 90.00°
Element x y z (fractional)
Os1 0.000 0.000 0.500
Os2 0.000 0.500 0.000
Os3 0.500 0.000 0.000
Hg1 0.000 0.000 0.000
Mo1 0.500 0.500 0.500

Energy above the most stable polymorph in this dataset = 1251 meV per atom
ΔE_f = 17.3 eV per formula unit

***

Entry 3:
Material: RbCSe2Br
Method: DFT, PBE-GGA
State: optimized geometry

Cell: 7.005 7.005 6.551 Å, 90.00 90.00 90.00°
Element x y z (fractional)
Rb1 0.000 0.000 0.000
Br1 0.000 0.000 0.500
C1 0.500 0.500 0.500
Se1 0.500 0.000 0.000
Se2 0.000 0.500 0.000

Energy above the most stable polymorph in this dataset = 1532 meV per atom
E_form (uncorrected) = 1.96 eV per atom

***

Entry 4:
Material: Hf2Ta2In
Method: DFT, PBE-GGA
State: optimized geometry

Cell: 7.453 7.453 3.844 Å, 90.00 90.00 90.00°
Element x y z (fractional)
Hf1 0.330 0.170 0.500
Hf2 0.830 0.330 0.500
Hf3 0.670 0.830 0.500
Hf4 0.170 0.670 0.500
In1 0.500 0.500 0.000
In2 0.000 0.000 0.000
Ta1 0.625 0.125 0.000
Ta2 0.875 0.625 0.000
Ta3 0.375 0.875 0.000
Ta4 0.125 0.375 0.000

ΔE_f = 0.9 eV per formula unit

***

Entry 5:
Material: DyNiGe
Method: DFT, PBE-GGA
State: optimized geometry

Cell: 3.584 4.211 4.211 Å, 120.00 90.00 90.00°
Element x y z (fractional)
Dy1 0.667 0.667 0.333
Ni1 0.167 0.000 0.000
Ge1 0.167 0.333 0.667

ΔE_f = -2.3 eV per formula unit

***

Entry 6:
Material: TiNb2Pd2
Method: DFT, PBE-GGA
State: optimized geometry

Cell: 7.882 7.882 2.835 Å, 90.00 90.00 90.00°
Element x y z (fractional)
Ti1 0.500 0.500 0.000
Ti2 0.000 0.000 0.000
Pd1 0.627 0.873 0.500
Pd2 0.873 0.373 0.500
Pd3 0.127 0.627 0.500
Pd4 0.373 0.127 0.500
Nb1 0.830 0.670 0.000
Nb2 0.670 0.170 0.000
Nb3 0.330 0.830 0.000
Nb4 0.170 0.330 0.000

Energy above the most stable polymorph in this dataset = 175 meV per atom
ΔE_f = 0.0 eV per formula unit

***

Entry 7:
Material: CaGaPb2I
Method: DFT, PBE-GGA
State: optimized geometry

Cell: 5.482 6.087 5.482 Å, 90.00 90.00 90.00°
Element x y z (fractional)
Pb1 0.500 0.000 0.000
Pb2 0.000 0.000 0.500
Ga1 0.000 0.000 0.000
Ca1 0.000 0.500 0.000
I1 0.500 0.500 0.500

E_form (uncorrected) = -0.09 eV per atom

***

Entry 8:
Material: CsHf2VAu
Method: DFT, PBE-GGA
State: optimized geometry

Cell: 5.298 5.256 5.298 Å, 90.00 90.00 90.00°
Element x y z (fractional)
Cs1 0.500 0.500 0.500
Au1 0.000 0.000 0.000
Hf1 0.500 0.000 0.000
Hf2 0.000 0.000 0.500
V1 0.000 0.500 0.000

ΔE_f = 5.6 eV per formula unit

***

Listing E for the structures above in their given order: -4.25; -5.51; -1.80; -9.09; -5.76; -7.69; -2.89; -5.52 eV/atom.